Entry 1:
An optimized crystal structure of CuAs2Au. Source: the Alexandria database, functional PBE-GGA.

Results
Relative energy among the computed polymorphs, eV/f.u.: 0.913
Size of the total moment, μB per formula unit: 0.000
DFT formation energy, eV per atom: 0.340
Electronic total energy, eV/cell: -15.3
Space-group type: No. 216

abc: 4.642 4.642 4.642
angles: 60.00 60.00 60.00
Fractional positions:
1 As 0.250 0.250 0.250
2 As 0.000 0.000 0.000
3 Cu 0.750 0.750 0.750
4 Au 0.500 0.500 0.500



Entry 2:
An optimized crystal structure of CuAs2Au. Source: the Alexandria database, functional PBE-GGA.

Results
Relative energy among the computed polymorphs, eV/f.u.: 0.578
Size of the total moment, μB per formula unit: 0.000
DFT formation energy, eV per atom: 0.256
Electronic total energy, eV/cell: -31.3
Space-group type: No. 122

abc: 5.661 5.661 6.884
angles: 65.72 65.72 90.00
Fractional positions:
1 Cu 0.500 0.500 0.000
2 Cu 0.250 0.750 0.500
3 As 0.375 0.404 0.750
4 As 0.875 0.846 0.750
5 As 0.596 0.125 0.250
6 As 0.154 0.625 0.250
7 Au 0.000 0.000 0.000
8 Au 0.750 0.250 0.500



Entry 3:
An optimized crystal structure of CuAs2Au. Source: the Alexandria database, functional PBE-GGA.

Results
Relative energy among the computed polymorphs, eV/f.u.: 0.291
Size of the total moment, μB per formula unit: 0.000
DFT formation energy, eV per atom: 0.184
Electronic total energy, eV/cell: -15.9
Space-group type: No. 47

abc: 3.145 2.946 7.720
angles: 90.00 90.00 90.00
Fractional positions:
1 As 0.000 0.250 0.535
2 As 0.000 0.250 0.965
3 Cu 0.500 0.750 0.750
4 Au 0.500 0.250 0.250



Entry 4:
An optimized crystal structure of CuAsAu2. Source: the Alexandria database, functional PBE-GGA.

Results
Size of the total moment, μB per formula unit: 0.000
DFT formation energy, eV per atom: 0.089
Electronic total energy, eV/cell: -14.9
Space-group type: No. 99

abc: 2.880 2.880 8.185
angles: 90.00 90.00 89.97
Fractional positions:
1 As 0.500 0.500 0.715
2 Au 0.000 0.000 0.006
3 Au 0.500 0.500 0.276
4 Cu 0.000 0.000 0.503



Entry 5:
An optimized crystal structure of KCuAsAu. Source: the Alexandria database, functional PBE-GGA.

Results
Size of the total moment, μB per formula unit: 0.000
DFT formation energy, eV per atom: -0.037
Electronic total energy, eV/cell: -13.3
Space-group type: No. 38

abc: 4.472 4.815 5.016
angles: 118.68 90.00 90.00
Fractional positions:
1 Cu 0.500 0.581 0.163
2 As 0.000 0.634 0.268
3 K 0.500 0.267 0.534
4 Au 0.000 0.948 0.896



Entry 6:
An optimized crystal structure of Mg2CuAsAu. Source: the Alexandria database, functional PBE-GGA.

Results
Size of the total moment, μB per formula unit: 0.000
DFT formation energy, eV per atom: 0.120
Electronic total energy, eV/cell: -14.6
Space-group type: No. 123

abc: 4.992 4.341 4.992
angles: 90.00 90.00 90.00
Fractional positions:
1 Au 0.500 0.500 0.500
2 Cu 0.000 0.000 0.000
3 As 0.000 0.500 0.000
4 Mg 0.000 0.000 0.500
5 Mg 0.500 0.000 0.000



Entry 7:
An optimized crystal structure of NaCuAsAu. Source: the Alexandria database, functional PBE-GGA.

Results
Size of the total moment, μB per formula unit: 0.000
DFT formation energy, eV per atom: -0.149
Electronic total energy, eV/cell: -27.9
Space-group type: No. 129

abc: 3.888 3.888 10.649
angles: 90.00 90.00 90.00
Fractional positions:
1 Cu 0.250 0.750 0.000
2 Cu 0.750 0.250 0.000
3 Na 0.250 0.250 0.734
4 Na 0.750 0.750 0.266
5 As 0.750 0.750 0.860
6 As 0.250 0.250 0.140
7 Au 0.250 0.750 0.500
8 Au 0.750 0.250 0.500



Entry 8:
An optimized crystal structure of CuAsPbAu. Source: the Alexandria database, functional PBE-GGA.

Results
Size of the total moment, μB per formula unit: 0.000
DFT formation energy, eV per atom: 0.015
Electronic total energy, eV/cell: -31.3
Space-group type: No. 129

abc: 3.898 3.898 11.301
angles: 90.00 90.00 90.00
Fractional positions:
1 Au 0.750 0.250 0.500
2 Au 0.250 0.750 0.500
3 As 0.750 0.750 0.861
4 As 0.250 0.250 0.139
5 Cu 0.750 0.250 0.000
6 Cu 0.250 0.750 0.000
7 Pb 0.750 0.750 0.277
8 Pb 0.250 0.250 0.723



Entry 9:
An optimized crystal structure of Cu4As3Pb2Au. Source: the Alexandria database, functional PBE-GGA.

Results
Size of the total moment, μB per formula unit: 0.000
DFT formation energy, eV per atom: 0.015
Electronic total energy, eV/cell: -40.9
Space-group type: No. 115

abc: 4.157 4.157 10.931
angles: 90.00 90.00 90.00
Fractional positions:
1 Cu 0.000 0.000 0.000
2 Cu 0.500 0.000 0.651
3 Cu 0.500 0.500 0.000
4 Cu 0.000 0.500 0.349
5 Pb 0.500 0.000 0.258
6 Pb 0.000 0.500 0.742
7 As 0.000 0.500 0.128
8 As 0.000 0.000 0.500
9 As 0.500 0.000 0.872
10 Au 0.500 0.500 0.500



Entry 10:
An optimized crystal structure of Cu2AsPdAu. Source: the Alexandria database, functional PBE-GGA.

Results
Size of the total moment, μB per formula unit: 0.000
DFT formation energy, eV per atom: 0.431
Electronic total energy, eV/cell: -19.2
Space-group type: No. 123

abc: 4.440 4.882 4.440
angles: 90.00 90.00 90.00
Fractional positions:
1 As 0.000 0.000 0.000
2 Au 0.000 0.500 0.000
3 Pd 0.500 0.500 0.500
4 Cu 0.000 0.000 0.500
5 Cu 0.500 0.000 0.000



Entry 11:
An optimized crystal structure of RbCuAsAu. Source: the Alexandria database, functional PBE-GGA.

Results
Size of the total moment, μB per formula unit: 0.000
DFT formation energy, eV per atom: -0.162
Electronic total energy, eV/cell: -13.6
Space-group type: No. 44

abc: 4.499 4.751 6.583
angles: 111.15 109.98 90.00
Fractional positions:
1 Au 0.277 0.277 0.554
2 As 0.211 0.711 0.421
3 Rb 0.965 0.965 0.929
4 Cu 0.663 0.663 0.326



Entry 12:
An optimized crystal structure of CuAs2AuSe4. Source: the Alexandria database, functional PBE-GGA.

Results
Size of the total moment, μB per formula unit: 0.000
Energy relative to the elements, uncorrected, meV per atom: 7
Electronic total energy, eV/cell: -30.6
Space-group type: No. 42

abc: 6.552 6.552 6.236
angles: 113.64 113.64 103.70
Fractional positions:
1 As 0.288 0.788 0.575
2 As 0.788 0.288 0.575
3 Se 0.396 0.844 0.240
4 Se 0.567 0.567 0.718
5 Se 0.151 0.151 0.718
6 Se 0.844 0.396 0.240
7 Cu 0.547 0.547 0.093
8 Au 0.921 0.921 0.841



Entry 13:
An optimized crystal structure of CuAs2AuSe. Source: the Alexandria database, functional PBE-GGA.

Results
Relative energy among the computed polymorphs, eV/f.u.: 0.000
Size of the total moment, μB per formula unit: 0.000
Energy relative to the elements, uncorrected, meV per atom: 678
Electronic total energy, eV/cell: -16.8
Space-group type: No. 123

abc: 4.698 4.698 4.806
angles: 90.00 90.00 90.00
Fractional positions:
1 Au 0.500 0.500 0.500
2 As 0.500 0.000 0.000
3 As 0.000 0.500 0.000
4 Cu 0.000 0.000 0.000
5 Se 0.000 0.000 0.500



Entry 14:
An optimized crystal structure of SrCuAsAu. Source: the Alexandria database, functional PBE-GGA.

Results
Size of the total moment, μB per formula unit: 0.000
DFT formation energy, eV per atom: -0.571
Electronic total energy, eV/cell: -32.0
Space-group type: No. 129

abc: 4.048 4.048 10.828
angles: 90.00 90.00 90.00
Fractional positions:
1 Cu 0.250 0.750 0.000
2 Cu 0.750 0.250 0.000
3 Sr 0.750 0.750 0.255
4 Sr 0.250 0.250 0.745
5 Au 0.750 0.250 0.500
6 Au 0.250 0.750 0.500
7 As 0.250 0.250 0.133
8 As 0.750 0.750 0.867



Entry 15:
An optimized crystal structure of SrCu2AsAu2. Source: the Alexandria database, functional PBE-GGA.

Results
Size of the total moment, μB per formula unit: 0.000
DFT formation energy, eV per atom: -0.279
Electronic total energy, eV/cell: -22.8
Space-group type: No. 123

abc: 4.599 4.599 6.006
angles: 90.00 90.00 90.00
Fractional positions:
1 Cu 0.500 0.000 0.000
2 Cu 0.000 0.500 0.000
3 Au 0.500 0.500 0.731
4 Au 0.500 0.500 0.269
5 As 0.000 0.000 0.000
6 Sr 0.000 0.000 0.500



Entry 16:
An optimized crystal structure of Sr2Cu3As4Au. Source: the Alexandria database, functional PBE-GGA.

Results
Size of the total moment, μB per formula unit: 0.000
DFT formation energy, eV per atom: -0.524
Electronic total energy, eV/cell: -42.8
Space-group type: No. 115

abc: 4.431 4.431 10.195
angles: 90.00 90.00 90.00
Fractional positions:
1 Cu 0.000 0.500 0.119
2 Cu 0.500 0.000 0.881
3 Cu 0.000 0.000 0.500
4 As 0.000 0.500 0.359
5 As 0.500 0.000 0.641
6 As 0.500 0.500 0.000
7 As 0.000 0.000 0.000
8 Sr 0.500 0.000 0.247
9 Sr 0.000 0.500 0.753
10 Au 0.500 0.500 0.500



Entry 17:
An optimized crystal structure of Sr2Cu4As3Au. Source: the Alexandria database, functional PBE-GGA.

Results
Size of the total moment, μB per formula unit: 0.000
DFT formation energy, eV per atom: -0.504
Electronic total energy, eV/cell: -42.0
Space-group type: No. 115

abc: 4.335 4.335 10.276
angles: 90.00 90.00 90.00
Fractional positions:
1 As 0.000 0.500 0.130
2 As 0.000 0.000 0.500
3 As 0.500 0.000 0.870
4 Sr 0.000 0.500 0.756
5 Sr 0.500 0.000 0.244
6 Cu 0.000 0.000 0.000
7 Cu 0.000 0.500 0.365
8 Cu 0.500 0.500 0.000
9 Cu 0.500 0.000 0.635
10 Au 0.500 0.500 0.500



Entry 18:
An optimized crystal structure of CuTcAsAu2. Source: the Alexandria database, functional PBE-GGA.

Results
Size of the total moment, μB per formula unit: 0.627
DFT formation energy, eV per atom: 0.976
Electronic total energy, eV/cell: -20.8
Space-group type: No. 123

abc: 5.120 5.120 4.597
angles: 90.00 90.00 90.00
Fractional positions:
1 Tc 0.000 0.000 0.000
2 As 0.000 0.000 0.500
3 Au 0.000 0.500 0.000
4 Au 0.500 0.000 0.000
5 Cu 0.500 0.500 0.500



Entry 19:
An optimized crystal structure of TlCuAsAu. Source: the Alexandria database, functional PBE-GGA.

Results
Size of the total moment, μB per formula unit: 0.000
DFT formation energy, eV per atom: 0.050
Electronic total energy, eV/cell: -28.4
Space-group type: No. 129

abc: 3.858 3.858 12.017
angles: 90.00 90.00 90.00
Fractional positions:
1 Tl 0.250 0.250 0.726
2 Tl 0.750 0.750 0.274
3 Au 0.750 0.250 0.500
4 Au 0.250 0.750 0.500
5 Cu 0.250 0.750 0.000
6 Cu 0.750 0.250 0.000
7 As 0.750 0.750 0.871
8 As 0.250 0.250 0.129



Entry 20:
An optimized crystal structure of ZrCu2AsAu. Source: the Alexandria database, functional PBE-GGA.

Results
Size of the total moment, μB per formula unit: 0.490
DFT formation energy, eV per atom: 1.273
Electronic total energy, eV/cell: -18.3
Space-group type: No. 123

abc: 4.870 5.186 4.870
angles: 90.00 90.00 90.00
Fractional positions:
1 Cu 0.500 0.000 0.000
2 Cu 0.000 0.000 0.500
3 Au 0.000 0.500 0.000
4 Zr 0.000 0.000 0.000
5 As 0.500 0.500 0.500



Entry 21:
An optimized crystal structure of DyAsAu. Source: the Alexandria database, functional PBE-GGA.

Results
Size of the total moment, μB per formula unit: 0.000
DFT formation energy, eV per atom: -0.695
Electronic total energy, eV/cell: -14.6
Space-group type: No. 107

abc: 3.902 3.902 5.180
angles: 112.13 112.13 90.00
Fractional positions:
1 As 0.631 0.631 0.262
2 Dy 0.275 0.275 0.551
3 Au 0.944 0.944 0.887



Entry 22:
An optimized crystal structure of Dy2AsAu. Source: the Alexandria database, functional PBE-GGA.

Results
Size of the total moment, μB per formula unit: 0.000
DFT formation energy, eV per atom: -1.070
Electronic total energy, eV/cell: -21.4
Space-group type: No. 166

abc: 4.082 4.082 7.431
angles: 74.06 74.06 60.00
Fractional positions:
1 Au 0.500 0.500 0.500
2 Dy 0.746 0.746 0.763
3 Dy 0.254 0.254 0.237
4 As 0.000 0.000 0.000



Entry 23:
An optimized crystal structure of DyAs2Au. Source: the Alexandria database, functional PBE-GGA.

Results
Size of the total moment, μB per formula unit: 0.000
DFT formation energy, eV per atom: -0.736
Electronic total energy, eV/cell: -40.2
Space-group type: No. 129

abc: 4.051 4.051 10.030
angles: 90.00 90.00 90.00
Fractional positions:
1 As 0.000 0.500 0.805
2 As 0.000 0.000 0.500
3 As 0.500 0.000 0.195
4 As 0.500 0.500 0.500
5 Dy 0.000 0.500 0.269
6 Dy 0.500 0.000 0.731
7 Au 0.000 0.000 0.000
8 Au 0.500 0.500 0.000



Entry 24:
An optimized crystal structure of DyAs2Au. Source: the Alexandria database, functional PBE-GGA.

Results
Size of the total moment, μB per formula unit: 0.000
DFT formation energy, eV per atom: -0.448
Electronic total energy, eV/cell: -19.0
Space-group type: No. 166

abc: 4.236 4.236 6.200
angles: 70.03 70.03 60.00
Fractional positions:
1 As 0.743 0.743 0.770
2 As 0.257 0.257 0.230
3 Au 0.000 0.000 0.000
4 Dy 0.500 0.500 0.500



Entry 25:
An optimized crystal structure of DyAs2Au. Source: the Alexandria database, functional PBE-GGA.

Results
Size of the total moment, μB per formula unit: 0.000
DFT formation energy, eV per atom: -0.624
Electronic total energy, eV/cell: -19.7
Space-group type: No. 123

abc: 3.884 4.562 4.562
angles: 90.00 90.00 90.00
Fractional positions:
1 Au 0.500 0.000 0.000
2 As 0.000 0.000 0.500
3 As 0.000 0.500 0.000
4 Dy 0.500 0.500 0.500



Entry 26:
An optimized crystal structure of DyAsAu. Source: the Alexandria database, functional PBE-GGA.

Results
Size of the total moment, μB per formula unit: 0.000
DFT formation energy, eV per atom: -0.854
Electronic total energy, eV/cell: -15.1
Space-group type: No. 156

abc: 4.071 4.324 4.324
angles: 120.00 90.00 90.00
Fractional positions:
1 Au 0.254 0.667 0.333
2 Dy 0.669 0.333 0.667
3 As 0.077 0.000 0.000



Entry 27:
An optimized crystal structure of Li2DyAs2Au2. Source: the Alexandria database, functional PBE-GGA.

Results
Size of the total moment, μB per formula unit: 0.000
DFT formation energy, eV per atom: -0.736
Electronic total energy, eV/cell: -29.4
Space-group type: No. 166

abc: 4.337 4.337 8.193
angles: 74.65 74.65 60.00
Fractional positions:
1 Li 0.852 0.852 0.443
2 Li 0.148 0.148 0.557
3 Au 0.562 0.562 0.313
4 Au 0.438 0.438 0.687
5 Dy 0.000 0.000 0.000
6 As 0.264 0.264 0.207
7 As 0.736 0.736 0.793